# 1
A plane-wave DFT calculation with PBE-GGA was carried out for a geometry-optimized Rb3ScMo structure.

Cell lengths 7.0747, 7.0747, 7.0747 Å; angles 90.00, 90.00, 90.00 degrees
With the nearest neighbours (Å) after each atom.
Space group Pm-3m (No. 221)
Asymmetric unit:
1 Rb 0.0000 0.0000 0.5000 (multiplicity 3)  2 Mo 3.54
2 Sc 0.5000 0.5000 0.5000 (multiplicity 1)  12 Rb 5.00
3 Mo 0.0000 0.0000 0.0000 (multiplicity 1)  6 Rb 3.54

- energy relative to the elements (meV per atom) = 1645

---

# 2
A plane-wave DFT calculation with PBE-GGA was carried out for a geometry-optimized RbSc2ZnMo structure.

Cell lengths 5.2346, 5.2346, 5.8424 Å; angles 90.00, 90.00, 90.00 degrees
With the nearest neighbours (Å) after each atom.
Space group P4/mmm (No. 123)
Asymmetric unit:
1 Rb 0.0000 0.0000 0.0000 (multiplicity 1)  2 Zn 2.92
2 Sc 0.0000 0.5000 0.5000 (multiplicity 2)  2 Zn 2.62
3 Zn 0.0000 0.0000 0.5000 (multiplicity 1)  4 Sc 2.62, 2 Rb 2.92
4 Mo 0.5000 0.5000 0.0000 (multiplicity 1)  4 Rb 3.70, 8 Sc 3.92

- energy relative to the elements (meV per atom) = 1358

---

# 3
A plane-wave DFT calculation with PBE-GGA was carried out for a geometry-optimized Rb3MoSe4 structure.

Cell lengths 13.3691, 6.8586, 6.7109 Å; angles 90.00, 90.00, 90.00 degrees
With the nearest neighbours (Å) after each atom.
Space group Pmn2_1 (No. 31)
Asymmetric unit:
1 Rb 0.0000 0.1622 0.0000 (multiplicity 2)  4 Se 3.46-3.50
2 Rb 0.2500 0.2747 0.5455 (multiplicity 4)  6 Se 3.36-3.68
3 Mo 0.0000 0.6398 0.4289 (multiplicity 2)  4 Se 2.38-2.40
4 Se 0.0000 0.3002 0.4983 (multiplicity 2)  1 Mo 2.38
5 Se 0.0000 0.6609 0.0752 (multiplicity 2)  1 Mo 2.38
6 Se 0.1540 0.7774 0.5479 (multiplicity 4)  1 Mo 2.40

- formation energy from raw total energies (meV/atom) = -857

---

# 4
A plane-wave DFT calculation with PBE-GGA was carried out for a geometry-optimized Rb2MoSe5 structure.

Cell lengths 14.0814, 8.7978, 5.6374 Å; angles 90.00, 113.52, 90.00 degrees
With the nearest neighbours (Å) after each atom.
Space group Cm (No. 8)
Asymmetric unit:
1 Rb 0.0000 0.0000 0.0000 (multiplicity 2)  6 Se 3.27-3.45
2 Rb 0.0911 0.5000 0.5903 (multiplicity 2)  4 Se 3.62-3.63
3 Mo 0.3077 0.0000 0.8083 (multiplicity 2)  5 Se 2.31-2.48
4 Se 0.1289 0.0000 0.6284 (multiplicity 2)  1 Mo 2.31
5 Se 0.3689 0.2046 0.1378 (multiplicity 4)  1 Mo 2.48, 1 Se 2.61
6 Se 0.3700 0.2042 0.6016 (multiplicity 4)  1 Mo 2.48, 1 Se 2.61

- formation energy from raw total energies (meV/atom) = -611